VASP calculation (PBE) on a relaxed structure of IrOsRuW.

```
4
Lattice="3.861 0.000 0.000 0.000 3.890 0.000 0.000 0.000 3.895" Properties=species:S:1:pos:R:3 pbc="T T T"
Ir 0.000 0.000 0.000
Os 1.931 0.000 1.948
Ru 1.931 1.945 0.000
W 0.000 1.945 1.948
```

Properties
symmetry = Pmmm (47)
E = -10.733 eV/atom
formation energy = -14.7 kJ per mole of atoms



VASP calculation (PBE) on a relaxed structure of Tl2P2Pt.

```
5
Lattice="-3.121 3.121 3.264 3.121 -3.121 3.264 3.121 3.121 -3.264" Properties=species:S:1:pos:R:3 pbc="T T T"
Tl 3.121 0.000 1.632
Tl 0.000 3.121 1.632
P 0.000 0.000 1.016
P 0.000 0.000 5.512
Pt 0.000 0.000 3.264
```

Properties
symmetry = I4/mmm (139)
E = -4.093 eV/atom
energy above the lowest structure with this stoichiometry = 0.422 eV/atom
formation energy = 21.8 kJ per mole of atoms



VASP calculation (PBE) on a relaxed structure of TaP2AuS.

```
5
Lattice="4.874 0.000 0.000 0.000 4.874 0.000 0.000 0.000 4.656" Properties=species:S:1:pos:R:3 pbc="T T T"
Ta 0.000 0.000 0.000
P 0.000 2.437 0.000
P 2.437 0.000 0.000
Au 2.437 2.437 2.328
S 0.000 0.000 2.328
```

Properties
symmetry = P4/mmm (123)
E = -5.590 eV/atom
energy above the lowest structure with this stoichiometry = 0.000 eV/atom



VASP calculation (PBE) on a relaxed structure of Li2SbIrN.

```
5
Lattice="4.323 0.000 0.000 0.000 4.323 0.000 0.000 0.000 3.820" Properties=species:S:1:pos:R:3 pbc="T T T"
Li 0.000 2.161 0.000
Li 2.161 0.000 0.000
Sb 0.000 0.000 1.910
Ir 2.161 2.161 1.910
N 2.161 2.161 0.000
```

Properties
symmetry = P4/mmm (123)
E = -5.320 eV/atom